A relaxed Pr8Dy3Ho2 crystal, computed with GGA-PBE.

Properties
Electronic total energy, Ha/atom: -0.1657

abc: 5.7869 7.7618 10.9645
angles: 110.73 90.02 90.00
Sites, in units of the cell vectors:
1 Pr 0.0009 0.6742 0.3485
2 Pr 0.9995 0.1312 0.2623
3 Pr 0.5002 0.8107 0.2118
4 Pr 0.4998 0.1893 0.7882
5 Pr 0.4998 0.5989 0.7882
6 Pr 0.0005 0.8688 0.7377
7 Pr 0.9991 0.3258 0.6515
8 Pr 0.5002 0.4011 0.2118
9 Ho 0.5011 0.7603 0.5206
10 Ho 0.4989 0.2397 0.4794
11 Dy 0.0000 0.2852 0.0000
12 Dy 0.0000 0.7148 0.0000
13 Dy 0.5000 0.0000 0.0000

---

A relaxed Dy2Al5Zn3 crystal, computed with GGA-PBE.

Properties
Electronic total energy, Ha/atom: -0.1299

abc: 5.8456 8.5387 8.5387
angles: 80.09 69.98 69.98
Sites, in units of the cell vectors:
1 Al 0.9967 0.2533 0.2533
2 Al 0.3789 0.2616 0.9805
3 Al 0.4967 0.2533 0.2533
4 Al 0.8789 0.9805 0.2616
5 Al 0.0033 0.7467 0.7467
6 Al 0.5033 0.7467 0.7467
7 Al 0.7500 0.5000 0.5000
8 Al 0.2500 0.5000 0.5000
9 Al 0.6211 0.7384 0.0195
10 Al 0.1211 0.0195 0.7384
11 Zn 0.6233 0.5167 0.2368
12 Zn 0.1233 0.2368 0.5167
13 Zn 0.8767 0.7632 0.4833
14 Zn 0.7500 0.0000 0.0000
15 Zn 0.3767 0.4833 0.7632
16 Zn 0.2500 0.0000 0.0000
17 Dy 0.1271 0.6229 0.1230
18 Dy 0.8729 0.3771 0.8770
19 Dy 0.6271 0.1230 0.6229
20 Dy 0.3729 0.8770 0.3771

---

no.,total magnetic moment (μB/f.u.)
1,0.0
2,0.0